First-principles (GGA-PBEsol) data for a relaxed structure of BaLaTl, as listed in Alexandria via LeMat-Bulk.

Results
Formation energy from the elements: 0.079 eV/atom
SG: F-43m (216)
Volume: 109.8 Å³/cell
Relative energy among the computed polymorphs: 116 kJ/mol of formula units

Cell lengths 5.3757, 5.3757, 5.3757 Å; angles 60.00, 60.00, 60.00 degrees
Sites, in units of the cell vectors:
Tl (0.0000, 0.0000, 0.0000)
Ba (0.5000, 0.5000, 0.5000)
La (0.2500, 0.2500, 0.2500)



First-principles (GGA-PBEsol) data for a relaxed structure of BaLaTl2, as listed in Alexandria via LeMat-Bulk.

Results
Formation energy from the elements: -0.441 eV/atom
SG: P4/mmm (123)
Volume: 133.2 Å³/cell

Cell lengths 4.0404, 4.0383, 8.1630 Å; angles 90.00, 90.00, 90.00 degrees
Sites, in units of the cell vectors:
Tl (0.0000, 0.0000, 0.7202)
Tl (0.0000, 0.0000, 0.2798)
La (0.5000, 0.5000, 0.5000)
Ba (0.5000, 0.5000, 0.0000)



no.,E (eV per atom)
1,-3.2963
2,-3.6298